Dy2SiB2Ir5 | PBE | relaxed

SG: P4/mbm, No. 127
DOS at the Fermi energy: 2.18 states/eV/f.u.
formation energy without anion corrections: -743 meV per atom
calculated total energy: -7.972 eV per atom

a b c (Å): 9.4286 9.4286 3.2285
angles (deg): 90.00 90.00 90.00
Fractional positions:
Dy (0.1766, 0.3234, 0.0000)
Dy (0.3234, 0.8234, 0.0000)
Dy (0.6766, 0.1766, 0.0000)
Dy (0.8234, 0.6766, 0.0000)
Si (0.0000, 0.0000, 0.0000)
Si (0.5000, 0.5000, 0.0000)
B (0.1222, 0.6222, 0.0000)
B (0.3778, 0.1222, 0.0000)
B (0.6222, 0.8778, 0.0000)
B (0.8778, 0.3778, 0.0000)
Ir (0.0000, 0.5000, 0.5000)
Ir (0.0680, 0.7848, 0.5000)
Ir (0.2152, 0.0680, 0.5000)
Ir (0.2848, 0.5680, 0.5000)
Ir (0.4320, 0.2848, 0.5000)
Ir (0.5000, 0.0000, 0.5000)
Ir (0.5680, 0.7152, 0.5000)
Ir (0.7152, 0.4320, 0.5000)
Ir (0.7848, 0.9320, 0.5000)
Ir (0.9320, 0.2152, 0.5000)

***

Cu2IBr | PBE | relaxed

SG: Cm, No. 8
energy relative to the lowest polymorph listed for this composition: 13 meV/atom
formation energy without anion corrections: -173 meV per atom
calculated total energy: -3.026 eV per atom

a b c (Å): 4.1745 4.1745 6.8229
angles (deg): 90.01 90.01 59.99
Fractional positions:
Cu (0.0000, 0.0000, 0.0000)
Cu (0.6682, 0.6682, 0.5175)
I (0.0013, 0.0013, 0.3799)
Br (0.6670, 0.6670, 0.8827)

***

LiOs2Se | PBE | relaxed

SG: P4/mmm, No. 123
DOS at the Fermi energy: 3.67 states/eV/f.u.
formation energy without anion corrections: 599 meV per atom
calculated total energy: -6.365 eV per atom

a b c (Å): 3.6965 3.6965 4.3540
angles (deg): 90.00 90.00 90.00
Fractional positions:
Li (0.0000, 0.0000, 0.0000)
Os (0.0000, 0.5000, 0.5000)
Os (0.5000, 0.0000, 0.5000)
Se (0.5000, 0.5000, 0.0000)

***

Ac3Sn3Au | PBE | relaxed

SG: C2/m, No. 12
DOS at the Fermi energy: 4.51 states/eV/f.u.
ΔH_f (0 K): -5.2 eV per formula unit
calculated total energy: -4.684 eV per atom

a b c (Å): 6.5591 6.5591 16.0787
angles (deg): 108.44 108.44 43.88
Fractional positions:
Ac (0.0326, 0.0326, 0.3838)
Ac (0.1007, 0.1007, 0.9221)
Ac (0.2427, 0.2427, 0.2316)
Ac (0.7573, 0.7573, 0.7684)
Ac (0.8993, 0.8993, 0.0779)
Ac (0.9674, 0.9674, 0.6162)
Sn (0.3567, 0.3567, 0.4586)
Sn (0.3794, 0.3794, 0.9239)
Sn (0.4709, 0.4709, 0.7672)
Sn (0.5291, 0.5291, 0.2328)
Sn (0.6206, 0.6206, 0.0761)
Sn (0.6433, 0.6433, 0.5414)
Au (0.2613, 0.2613, 0.6110)
Au (0.7387, 0.7387, 0.3890)

***

ZrTiSn2S | PBE | relaxed

SG: P4/mmm, No. 123
energy relative to the lowest polymorph listed for this composition: 0 meV/atom
DOS at the Fermi energy: 5.56 states/eV/f.u.
formation energy without anion corrections: 189 meV per atom
calculated total energy: -5.526 eV per atom

a b c (Å): 5.3141 5.3141 4.4302
angles (deg): 90.00 90.00 90.00
Fractional positions:
Zr (0.0000, 0.0000, 0.0000)
Ti (0.5000, 0.5000, 0.5000)
Sn (0.0000, 0.5000, 0.5000)
Sn (0.5000, 0.0000, 0.5000)
S (0.5000, 0.5000, 0.0000)

***

Na2NbCr2Se6 | PBE | relaxed

SG: C2/m, No. 12
DOS at the Fermi energy: 4.26 states/eV/f.u.
formation energy without anion corrections: -762 meV per atom
calculated total energy: -5.568 eV per atom

a b c (Å): 6.3362 6.3362 7.4974
angles (deg): 97.90 97.90 119.96
Fractional positions:
Na (0.1634, 0.8366, 0.0000)
Na (0.8366, 0.1634, 0.0000)
Nb (0.0000, 0.0000, 0.5000)
Cr (0.3326, 0.6674, 0.5000)
Cr (0.6674, 0.3326, 0.5000)
Se (0.0679, 0.4111, 0.7054)
Se (0.2788, 0.2788, 0.2937)
Se (0.4111, 0.0679, 0.7054)
Se (0.5889, 0.9321, 0.2946)
Se (0.7212, 0.7212, 0.7063)
Se (0.9321, 0.5889, 0.2946)

***

LiSmY2S5 | PBE | relaxed

SG: Cmc2_1, No. 36
formation energy without anion corrections: -1847 meV per atom
calculated total energy: -6.314 eV per atom

a b c (Å): 8.3939 8.3939 11.9138
angles (deg): 90.00 90.00 152.94
Fractional positions:
Li (0.0111, 0.9889, 0.5000)
Li (0.9889, 0.0111, 0.0000)
Sm (0.3041, 0.6959, 0.0147)
Sm (0.6959, 0.3041, 0.5147)
Y (0.3786, 0.6214, 0.3067)
Y (0.3911, 0.6089, 0.6991)
Y (0.6089, 0.3911, 0.1991)
Y (0.6214, 0.3786, 0.8067)
S (0.0005, 0.9995, 0.3030)
S (0.1358, 0.8642, 0.0208)
S (0.1920, 0.8080, 0.3510)
S (0.2108, 0.7892, 0.6810)
S (0.4569, 0.5431, 0.0929)
S (0.5431, 0.4569, 0.5929)
S (0.7892, 0.2108, 0.1810)
S (0.8080, 0.1920, 0.8510)
S (0.8642, 0.1358, 0.5208)
S (0.9995, 0.0005, 0.8030)

***

Na3Bi2Au5 | PBE | relaxed

SG: Ibam, No. 72
DOS at the Fermi energy: 4.24 states/eV/f.u.
ΔH_f (0 K): -1.4 eV per formula unit
calculated total energy: -2.951 eV per atom

a b c (Å): 8.8991 8.8991 8.8991
angles (deg): 118.26 94.53 116.58
Fractional positions:
Na (0.1083, 0.2486, 0.3569)
Na (0.2500, 0.2500, 0.0000)
Na (0.3917, 0.7486, 0.1403)
Na (0.6083, 0.2514, 0.8597)
Na (0.7500, 0.7500, 0.0000)
Na (0.8917, 0.7514, 0.6431)
Bi (0.1547, 0.8842, 0.0389)
Bi (0.3453, 0.3842, 0.7295)
Bi (0.6547, 0.6158, 0.2705)
Bi (0.8453, 0.1158, 0.9611)
Au (0.0060, 0.7500, 0.2560)
Au (0.1154, 0.5769, 0.6923)
Au (0.2500, 0.7500, 0.5000)
Au (0.3846, 0.0769, 0.4615)
Au (0.4940, 0.7500, 0.7440)
Au (0.5060, 0.2500, 0.2560)
Au (0.6154, 0.9231, 0.5385)
Au (0.7500, 0.2500, 0.5000)
Au (0.8846, 0.4231, 0.3077)
Au (0.9940, 0.2500, 0.7440)